1.
This record from the Alexandria database describes a geometry-optimized BaNaHg2Sb2 structure. The functional is PBE.

Results
Total DFT energy (no corrections) in eV for the cell shown: -14.940
Space group: No. 164
N(E_F) in states/eV per atom: 0.186

Structure (extended XYZ):
```
6
Lattice="-2.6375 -3.8290 -2.1379 4.9987 -0.5521 0.9468 -1.6961 -2.8904 7.2692" Properties=species:S:1:pos:R:3 pbc="T T T"
Sb -1.3358 -4.8562 4.2208
Sb 2.0009 -2.4153 1.8573
Hg -0.6483 -3.6845 1.2741
Hg 1.3134 -3.5870 4.8040
Na -0.8480 -1.4452 3.6346
Ba 0.0000 0.0000 0.0000
```

---

2.
This record from the Alexandria database describes a geometry-optimized BaNaHgSb structure. The functional is PBE.

Results
Total DFT energy (no corrections) in eV for the cell shown: -10.314
Space group: No. 216

Structure (extended XYZ):
```
4
Lattice="-4.4674 3.5876 0.0096 -5.3406 -2.0749 -0.0353 -3.2869 0.4698 4.6695" Properties=species:S:1:pos:R:3 pbc="T T T"
Sb -3.2737 0.4956 1.1610
Hg -9.8212 1.4869 3.4829
Ba -6.5475 0.9913 2.3219
Na 0.0000 0.0000 0.0000
```

---

3.
This record from the Alexandria database describes a geometry-optimized BaNaHgSe2 structure. The functional is PBE.

Results
Total DFT energy (no corrections) in eV for the cell shown: -31.141
Space group: No. 13
N(E_F) in states/eV per atom: 0.234

Structure (extended XYZ):
```
10
Lattice="5.0373 0.0000 0.0000 0.0000 7.7240 0.2371 0.0000 -2.0685 8.2479" Properties=species:S:1:pos:R:3 pbc="T T T"
Se 3.2778 3.4689 8.2235
Se 1.7594 4.5032 4.0996
Se 3.2778 1.1524 4.3854
Se 1.7594 2.1866 0.2614
Ba 0.7727 2.3107 6.3045
Ba 4.2646 3.3449 2.1805
Na 2.4313 -0.5171 2.0620
Na 2.6060 -1.5514 6.1859
Hg 0.0000 -1.0342 4.1239
Hg 0.0000 0.0000 0.0000
```

---

4.
This record from the Alexandria database describes a geometry-optimized Ba2NaHg2Se4 structure. The functional is PBE.

Results
Total DFT energy (no corrections) in eV for the cell shown: -29.107
Space group: No. 12
N(E_F) in states/eV per atom: 0.446

Structure (extended XYZ):
```
9
Lattice="4.3046 0.0000 0.0000 0.0000 8.2123 -0.1180 -2.1523 -3.3234 7.7226" Properties=species:S:1:pos:R:3 pbc="T T T"
Hg 0.0000 5.8977 4.8126
Hg 2.1523 -1.0088 2.7921
Ba 0.0000 3.7835 1.8648
Ba 2.1523 1.1054 5.7398
Se 2.1523 4.1233 4.4051
Se 0.0000 -1.0316 7.2802
Se 2.1523 5.9205 0.3244
Se 0.0000 0.7656 3.1995
Na 0.0000 0.0000 0.0000
```

---

5.
This record from the Alexandria database describes a geometry-optimized Ba2NaSm2Hg5 structure. The functional is PBE.

Results
Total DFT energy (no corrections) in eV for the cell shown: -38.592
Space group: No. 127
N(E_F) in states/eV per atom: 0.784

Structure (extended XYZ):
```
20
Lattice="4.1427 0.0000 0.0000 0.0000 12.3314 0.0000 0.0000 0.0000 12.3314" Properties=species:S:1:pos:R:3 pbc="T T T"
Sm 0.0000 1.6062 7.7719
Sm 0.0000 7.7719 10.7252
Sm 0.0000 10.7252 4.5595
Sm 0.0000 4.5595 1.6062
Na 0.0000 6.1657 6.1657
Na 0.0000 0.0000 0.0000
Hg 2.0713 5.3047 3.8880
Hg 2.0713 8.4434 5.3047
Hg 2.0713 7.0267 8.4434
Hg 2.0713 10.0537 11.4704
Hg 2.0713 11.4704 2.2777
Hg 2.0713 2.2777 0.8610
Hg 2.0713 6.1657 0.0000
Hg 2.0713 0.0000 6.1657
Hg 2.0713 0.8610 10.0537
Hg 2.0713 3.8880 7.0267
Ba 0.0000 10.2276 8.2695
Ba 0.0000 2.1038 4.0619
Ba 0.0000 4.0619 10.2276
Ba 0.0000 8.2695 2.1038
```

---

6.
This record from the Alexandria database describes a geometry-optimized BaNaSn2Hg4 structure. The functional is PBE.

Results
Total DFT energy (no corrections) in eV for the cell shown: -14.828
Space group: No. 166
N(E_F) in states/eV per atom: 0.477

Structure (extended XYZ):
```
8
Lattice="5.3125 0.0000 0.0000 2.6562 4.6007 0.0000 2.6562 1.5336 9.0852" Properties=species:S:1:pos:R:3 pbc="T T T"
Na 5.3125 3.0671 4.5426
Ba 0.0000 0.0000 0.0000
Hg 7.9687 4.6007 3.5908
Hg 5.3125 3.0671 7.5752
Hg 2.6562 1.5336 5.4944
Hg 5.3125 3.0671 1.5100
Sn 7.9687 4.6007 6.7241
Sn 2.6562 1.5336 2.3611
```

---

7.
This record from the Alexandria database describes a geometry-optimized Ba2NaSn4Hg3 structure. The functional is PBE.

Results
Total DFT energy (no corrections) in eV for the cell shown: -25.972
Space group: No. 115
N(E_F) in states/eV per atom: 0.428

Structure (extended XYZ):
```
10
Lattice="4.9180 0.0000 0.0000 0.0000 4.9180 0.0000 0.0000 0.0000 12.7906" Properties=species:S:1:pos:R:3 pbc="T T T"
Sn 2.4590 0.0000 8.1728
Sn 0.0000 2.4590 4.6178
Sn 2.4590 2.4590 0.0000
Sn 0.0000 0.0000 0.0000
Hg 2.4590 0.0000 10.9977
Hg 0.0000 2.4590 1.7928
Hg 0.0000 0.0000 6.3953
Ba 2.4590 0.0000 3.1597
Ba 0.0000 2.4590 9.6309
Na 2.4590 2.4590 6.3953
```

---

8.
This record from the Alexandria database describes a geometry-optimized Ba2NaSn3Hg4 structure. The functional is PBE.

Results
Total DFT energy (no corrections) in eV for the cell shown: -22.376
Space group: No. 115
N(E_F) in states/eV per atom: 0.381

Structure (extended XYZ):
```
10
Lattice="-1.3728 2.9288 3.8349 -4.1641 -2.7337 0.5972 5.9382 -7.3541 7.7422" Properties=species:S:1:pos:R:3 pbc="T T T"
Sn 2.9691 -3.6770 3.8711
Sn 4.4561 -4.9043 8.6223
Sn -1.2864 -2.3522 1.3359
Hg 3.0672 -3.1842 6.8114
Hg 0.0000 0.0000 0.0000
Hg -2.7684 0.0976 2.2160
Hg 0.1026 -4.0723 3.1469
Na 0.2007 -3.5795 6.0871
Ba 2.4893 -7.0281 6.2586
Ba 0.6805 -0.2284 3.6996
```

---

9.
This record from the Alexandria database describes a geometry-optimized BaNaSn2Hg2 structure. The functional is PBE.

Results
Total DFT energy (no corrections) in eV for the cell shown: -14.111
Space group: No. 164
N(E_F) in states/eV per atom: 0.307

Structure (extended XYZ):
```
6
Lattice="-4.9642 -0.3566 0.5949 2.4955 -3.5934 -2.4463 1.1228 -3.9766 6.9866" Properties=species:S:1:pos:R:3 pbc="T T T"
Hg -1.7020 -4.1825 4.4074
Hg 0.3561 -3.7441 0.7278
Sn -2.1756 -2.5051 1.4604
Sn 0.8298 -5.4215 3.6748
Ba 0.0000 0.0000 0.0000
Na 0.5614 -1.9883 3.4933
```

---

10.
This record from the Alexandria database describes a geometry-optimized BaNaSr2Hg structure. The functional is PBE.

Results
Total DFT energy (no corrections) in eV for the cell shown: -7.433
Space group: No. 123
N(E_F) in states/eV per atom: 1.079
Energy above the lowest structure with this stoichiometry in meV per atom: 29.7

Structure (extended XYZ):
```
5
Lattice="-0.3551 5.6164 -2.9841 -0.3603 -3.0018 -5.6067 -5.9521 -0.1348 0.4547" Properties=species:S:1:pos:R:3 pbc="T T T"
Na -2.9761 -0.0674 0.2273
Ba -3.3338 1.2399 -4.0681
Sr -0.1802 -1.5009 -2.8033
Sr -0.1776 2.8082 -1.4921
Hg 0.0000 0.0000 0.0000
```

---

11.
This record from the Alexandria database describes a geometry-optimized BaNa2SrHg structure. The functional is PBE.

Results
Total DFT energy (no corrections) in eV for the cell shown: -6.852
Space group: No. 123
N(E_F) in states/eV per atom: 0.766
Energy above the lowest structure with this stoichiometry in meV per atom: 0.0

Structure (extended XYZ):
```
5
Lattice="6.0307 0.0000 0.0000 0.0000 6.0307 0.0000 0.0000 0.0000 6.2859" Properties=species:S:1:pos:R:3 pbc="T T T"
Na 0.0000 3.0154 0.0000
Na 3.0154 0.0000 0.0000
Sr 0.0000 0.0000 3.1430
Ba 3.0154 3.0154 3.1430
Hg 0.0000 0.0000 0.0000
```

---

12.
This record from the Alexandria database describes a geometry-optimized BaNaSrHg structure. The functional is PBE.

Results
Total DFT energy (no corrections) in eV for the cell shown: -6.359
Space group: No. 99
N(E_F) in states/eV per atom: 0.717

Structure (extended XYZ):
```
4
Lattice="-3.2765 0.7750 2.4023 2.2225 -0.9805 3.3475 2.7680 9.1189 0.8332" Properties=species:S:1:pos:R:3 pbc="T T T"
Sr 0.4828 3.2237 3.1789
Hg 1.5455 5.0915 0.4652
Na 0.2305 0.7592 0.0694
Ba 1.6274 6.9945 3.5234
```

---

13.
This record from the Alexandria database describes a geometry-optimized Ba3NaSr3Hg2 structure. The functional is PBE.

Results
Total DFT energy (no corrections) in eV for the cell shown: -14.175
Space group: No. 189
N(E_F) in states/eV per atom: 1.121

Structure (extended XYZ):
```
9
Lattice="-0.6888 -4.7086 -2.6880 8.9979 0.0520 -2.3968 -2.6885 -4.1201 7.9061" Properties=species:S:1:pos:R:3 pbc="T T T"
Sr 3.7511 0.0217 -0.9992
Sr -1.1208 -1.7176 3.2959
Sr 3.6791 -2.3722 3.2125
Hg 0.8625 -5.0837 3.1278
Hg 4.7580 -3.6930 -0.3065
Ba 1.3852 -3.4695 0.1663
Ba -2.2959 -5.3449 4.3947
Ba 6.1868 -2.3166 -3.0838
Na 0.0000 0.0000 0.0000
```

---

14.
This record from the Alexandria database describes a geometry-optimized Ba2NaSrHg structure. The functional is PBE.

Results
Total DFT energy (no corrections) in eV for the cell shown: -7.604
Space group: No. 123
N(E_F) in states/eV per atom: 0.852
Energy above the lowest structure with this stoichiometry in meV per atom: 41.7

Structure (extended XYZ):
```
5
Lattice="6.7109 0.0000 0.0000 0.0000 5.8898 0.0000 0.0000 0.0000 6.7109" Properties=species:S:1:pos:R:3 pbc="T T T"
Ba 3.3554 0.0000 0.0000
Ba 0.0000 0.0000 3.3554
Sr 3.3554 2.9449 3.3554
Na 0.0000 2.9449 0.0000
Hg 0.0000 0.0000 0.0000
```

---

15.
This record from the Alexandria database describes a geometry-optimized BaNaSr2Hg structure. The functional is PBE.

Results
Total DFT energy (no corrections) in eV for the cell shown: -7.582
Space group: No. 123
N(E_F) in states/eV per atom: 0.841
Energy above the lowest structure with this stoichiometry in meV per atom: 0.0

Structure (extended XYZ):
```
5
Lattice="6.3881 0.0000 0.0000 0.0000 6.3881 0.0000 0.0000 0.0000 6.5814" Properties=species:S:1:pos:R:3 pbc="T T T"
Ba 0.0000 0.0000 3.2907
Sr 3.1940 0.0000 0.0000
Sr 0.0000 3.1940 0.0000
Na 3.1940 3.1940 3.2907
Hg 0.0000 0.0000 0.0000
```

---

16.
This record from the Alexandria database describes a geometry-optimized BaNa2SrHg structure. The functional is PBE.

Results
Total DFT energy (no corrections) in eV for the cell shown: -6.727
Space group: No. 123
N(E_F) in states/eV per atom: 0.784
Energy above the lowest structure with this stoichiometry in meV per atom: 24.9

Structure (extended XYZ):
```
5
Lattice="6.0314 0.0000 0.0000 0.0000 6.0314 0.0000 0.0000 0.0000 6.4756" Properties=species:S:1:pos:R:3 pbc="T T T"
Na 0.0000 3.0157 0.0000
Na 3.0157 0.0000 0.0000
Ba 0.0000 0.0000 3.2378
Hg 0.0000 0.0000 0.0000
Sr 3.0157 3.0157 3.2378
```

---

17.
This record from the Alexandria database describes a geometry-optimized Ba2NaSrHg structure. The functional is PBE.

Results
Total DFT energy (no corrections) in eV for the cell shown: -7.812
Space group: No. 123
N(E_F) in states/eV per atom: 0.810
Energy above the lowest structure with this stoichiometry in meV per atom: 0.0

Structure (extended XYZ):
```
5
Lattice="6.6398 0.0000 0.0000 0.0000 6.6398 0.0000 0.0000 0.0000 6.4243" Properties=species:S:1:pos:R:3 pbc="T T T"
Hg 0.0000 0.0000 0.0000
Na 3.3199 3.3199 3.2122
Ba 0.0000 3.3199 0.0000
Ba 3.3199 0.0000 0.0000
Sr 0.0000 0.0000 3.2122
```

---

18.
This record from the Alexandria database describes a geometry-optimized BaNaTlHg2 structure. The functional is PBE.

Results
Total DFT energy (no corrections) in eV for the cell shown: -7.868
Space group: No. 119
N(E_F) in states/eV per atom: 0.719

Structure (extended XYZ):
```
5
Lattice="-1.7099 4.1321 1.6624 -2.2117 0.7579 -4.1588 -3.7665 -5.7948 3.6836" Properties=species:S:1:pos:R:3 pbc="T T T"
Hg -3.1812 1.7312 -0.7292
Hg -4.5068 -2.6359 1.9164
Tl -3.7186 0.3912 2.0489
Na -3.9695 -1.2959 -0.8617
Ba 0.0000 0.0000 0.0000
```

---

19.
This record from the Alexandria database describes a geometry-optimized Ba2NaTl6Hg structure. The functional is PBE.

Results
Total DFT energy (no corrections) in eV for the cell shown: -20.032
Space group: No. 225
N(E_F) in states/eV per atom: 0.894

Structure (extended XYZ):
```
10
Lattice="8.0613 -0.0005 0.0000 0.0005 8.0613 0.0000 4.0309 4.0304 5.7003" Properties=species:S:1:pos:R:3 pbc="T T T"
Tl 6.0230 2.0381 0.0000
Tl 2.0388 6.0228 0.0000
Tl 2.0387 2.0384 0.0000
Tl 8.0618 8.0609 2.8830
Tl 4.0309 4.0304 2.8174
Tl 6.0231 6.0224 0.0000
Ba 8.0616 4.0302 2.8502
Ba 4.0311 8.0611 2.8502
Hg 0.0000 0.0000 0.0000
Na 4.0309 4.0304 0.0000
```

---

20.
This record from the Alexandria database describes a geometry-optimized BaNaTl2Hg structure. The functional is PBE.

Results
Total DFT energy (no corrections) in eV for the cell shown: -9.667
Space group: No. 44
N(E_F) in states/eV per atom: 0.675

Structure (extended XYZ):
```
5
Lattice="4.2286 0.0000 0.0000 0.0000 5.3159 0.0000 -2.1143 -2.6579 7.3110" Properties=species:S:1:pos:R:3 pbc="T T T"
Tl 0.0000 0.0000 0.7337
Tl 2.1143 0.0000 3.1345
Na 0.0000 2.6579 2.6055
Ba 0.0000 0.0000 6.3060
Hg 2.1143 2.6579 4.9444
```